Computed, not measured: a relaxed PrEr2UO8 crystal at the PBE level of DFT.

## Properties
symmetry = Pmmm
ΔE_f (raw) = -3.2523 eV/atom
theoretical density = 8.8 g/cm3
D(E_F) = 2.706 states/eV per cell

POSCAR file:
```
PrEr2UO8
1.0
3.900 -0.019 -0.002
0.024 5.308 -0.006
0.005 0.009 7.659
Pr Er U O
1 2 1 8
Direct
0.000 0.000 0.500
0.500 0.500 0.763
0.500 0.500 0.237
0.000 0.000 0.000
0.000 0.754 0.222
0.500 0.766 0.000
0.000 0.246 0.222
0.000 0.246 0.778
0.500 0.234 0.000
0.000 0.754 0.778
0.500 0.724 0.500
0.500 0.276 0.500
```